An optimized crystal structure of Ca2La2Cu, computed with PBE.

Cell: 7.515 7.515 6.045 Å, 90.00 90.00 90.00°
Sites, in units of the cell vectors:
Cu (0.500, 0.500, 0.000)
Ca (0.160, 0.340, 0.000)
La (0.339, 0.161, 0.500)
Cu (0.000, 0.000, 0.000)
La (0.839, 0.339, 0.500)
Ca (0.660, 0.160, 0.000)
La (0.161, 0.661, 0.500)
Ca (0.840, 0.660, 0.000)
Ca (0.340, 0.840, 0.000)
La (0.661, 0.839, 0.500)

## Properties
* D(E_F): 5.67 states/eV/f.u.
* crystal system: tetragonal
* energy relative to the lowest polymorph listed for this composition: 4.37 kJ per mole of atoms

***

An optimized crystal structure of CaLaCu, computed with PBE.

Cell: 7.186 7.186 3.607 Å, 75.46 75.47 29.07°
Sites, in units of the cell vectors:
Ca (0.966, 0.966, 0.034)
Cu (0.332, 0.332, 0.668)
La (0.702, 0.702, 0.298)

## Properties
* D(E_F): 4.12 states/eV/f.u.
* crystal system: tetragonal
* energy relative to the lowest polymorph listed for this composition: 5.63 kJ per mole of atoms

***

Record-wise E_form values, in meV per atom: 223 -46